CsBaCd2Ir: optimized geometry, PBE-GGA.

abc: 5.5048 5.5048 5.7978
angles: 90.00 90.00 90.00
Fractional coordinates of all 5 atoms:
1 Cd 0.0000 0.5000 0.0000
2 Cd 0.5000 0.0000 0.0000
3 Ir 0.0000 0.0000 0.0000
4 Ba 0.0000 0.0000 0.5000
5 Cs 0.5000 0.5000 0.5000

Magnetization ... 0.00 μB per formula unit
ΔE_f ... -14 meV per atom
Final energy ... -0.199 Ry/atom
Space group ... P4/mmm